one:
Computed, not measured: a geometry-optimized ZnCu2Cl structure at the GGA-PBE level of DFT.

Cell lengths 6.2382, 6.2382, 6.2382 Å; angles 147.94, 147.94, 45.98 degrees
Element x y z (fractional)
Zn1 0.5000 0.5000 0.0000
Cu1 0.0000 0.0000 0.0000
Cu2 0.2500 0.7500 0.5000
Cl1 0.7500 0.2500 0.5000

Results
M_tot = 0.00 μB per cell
Volume = 68 Å³/cell



two:
Computed, not measured: a geometry-optimized ZnCu2Cl structure at the GGA-PBE level of DFT.

Cell lengths 6.1913, 6.1913, 6.1913 Å; angles 151.21, 144.16, 46.60 degrees
Element x y z (fractional)
Zn1 0.4678 0.4678 0.0000
Cu1 0.9997 0.9997 0.0000
Cu2 0.8215 0.3215 0.5000
Cl1 0.2109 0.7109 0.5000

Results
M_tot = 0.00 μB per cell
Volume = 67 Å³/cell



three:
Computed, not measured: a geometry-optimized ZnCu2Cl structure at the GGA-PBE level of DFT.

Cell lengths 4.3656, 4.3656, 6.7599 Å; angles 115.59, 115.59, 43.83 degrees
Element x y z (fractional)
Zn1 0.3759 0.3759 0.6049
Cu1 0.0737 0.0737 0.8960
Cu2 0.7321 0.7321 0.7605
Cl1 0.3183 0.3183 0.2386

Results
M_tot = 0.00 μB per cell
Volume = 79 Å³/cell



Stability, highest: three



one:
Computed, not measured: a geometry-optimized ZnCu2Cl structure at the GGA-PBE level of DFT.

Cell lengths 3.0132, 5.7413, 3.8900 Å; angles 90.00, 90.00, 90.00 degrees
Element x y z (fractional)
Zn1 0.5000 0.0000 0.5000
Cu1 0.0000 0.0000 0.0000
Cu2 0.5000 0.5000 0.0000
Cl1 0.0000 0.5000 0.5000

Results
M_tot = 0.00 μB per cell
Volume = 67 Å³/cell



two:
Computed, not measured: a geometry-optimized ZnCu2Cl structure at the GGA-PBE level of DFT.

Cell lengths 4.5117, 4.5117, 4.5117 Å; angles 60.00, 60.00, 60.00 degrees
Element x y z (fractional)
Zn1 0.7500 0.7500 0.7500
Cu1 0.0000 0.0000 0.0000
Cu2 0.2500 0.2500 0.2500
Cl1 0.5000 0.5000 0.5000

Results
M_tot = 0.00 μB per cell
Volume = 65 Å³/cell



Stability, highest: one